A geometry-optimized Y2MgSnO structure, computed with PBE-GGA.

Cell lengths 4.8684, 4.8684, 4.3285 Å; angles 90.00, 90.00, 90.00 degrees
Positions (direct):
Sn  0.5000  0.5000  0.5000
Y  0.5000  0.0000  0.0000
O  0.0000  0.0000  0.0000
Mg  0.0000  0.0000  0.5000
Y  0.0000  0.5000  0.0000

## Properties
uncorrected energy: -30.4 eV per cell
mass density: 5.5 g/cm³
space-group type: P4/mmm (123)
ΔE_f (raw): -1.384 eV/atom
crystal system: tetragonal